[1]
Material: MgHg3I9
Method: DFT, GGA-PBE
State: relaxed

Results
Uncorrected energy in eV/cell: -42.06

Lattice parameters (Å, degrees): 11.755 11.755 15.738 126.69 126.69 48.31
Atoms (fractional coordinates):
Mg 0.072 0.928 0.500
Mg 0.928 0.072 0.000
Hg 0.131 0.408 0.144
Hg 0.271 0.702 0.754
Hg 0.408 0.131 0.644
Hg 0.416 0.847 0.267
Hg 0.702 0.271 0.254
Hg 0.847 0.416 0.767
I 0.073 0.737 0.277
I 0.129 0.833 0.097
I 0.155 0.355 0.954
I 0.171 0.644 0.529
I 0.184 0.972 0.939
I 0.226 0.477 0.770
I 0.355 0.155 0.454
I 0.366 0.935 0.660
I 0.477 0.226 0.270
I 0.597 0.619 0.375
I 0.616 0.849 0.221
I 0.619 0.597 0.875
I 0.644 0.171 0.029
I 0.737 0.073 0.777
I 0.833 0.129 0.597
I 0.849 0.616 0.721
I 0.935 0.366 0.160
I 0.972 0.184 0.439

***

[2]
Material: SbTe2PtS
Method: DFT, GGA-PBE
State: relaxed

Results
Uncorrected energy in eV/cell: -17.44

Lattice parameters (Å, degrees): 5.312 5.312 5.206 90.00 90.00 90.00
Atoms (fractional coordinates):
Sb 0.000 0.000 0.000
Te 0.000 0.500 0.500
Te 0.500 0.000 0.500
Pt 0.000 0.000 0.500
S 0.500 0.500 0.000

***

[3]
Material: Rb3Np3PdSe8
Method: DFT, GGA-PBE
State: relaxed

Results
Uncorrected energy in eV/cell: -90.37

Lattice parameters (Å, degrees): 8.200 8.200 9.412 115.40 115.40 60.67
Atoms (fractional coordinates):
Rb 0.000 0.000 0.000
Rb 0.000 0.500 0.000
Rb 0.500 0.000 0.000
Np 0.000 0.500 0.500
Np 0.500 0.000 0.500
Np 0.500 0.500 0.500
Pd 0.000 0.000 0.500
Se 0.215 0.215 0.678
Se 0.231 0.727 0.690
Se 0.267 0.267 0.301
Se 0.273 0.769 0.310
Se 0.727 0.231 0.690
Se 0.733 0.733 0.699
Se 0.769 0.273 0.310
Se 0.785 0.785 0.322

***

[4]
Material: CdSbO3
Method: DFT, GGA-PBE
State: relaxed

Results
Uncorrected energy in eV/cell: -20.60

Lattice parameters (Å, degrees): 4.113 4.113 4.113 90.00 90.00 90.00
Atoms (fractional coordinates):
Cd 0.000 0.000 0.000
Sb 0.500 0.500 0.500
O 0.000 0.000 0.500
O 0.000 0.500 0.000
O 0.500 0.000 0.000

***

[5]
Material: NaAuSe2Br
Method: DFT, GGA-PBE
State: relaxed

Results
Uncorrected energy in eV/cell: -13.66

Lattice parameters (Å, degrees): 5.130 5.130 5.487 90.00 90.00 90.00
Atoms (fractional coordinates):
Na 0.000 0.000 0.000
Au 0.500 0.500 0.500
Se 0.000 0.500 0.500
Se 0.500 0.000 0.500
Br 0.500 0.500 0.000

***

[6]
Material: Ac2NdInSe5
Method: DFT, GGA-PBE
State: relaxed

Results
Uncorrected energy in eV/cell: -94.92

Lattice parameters (Å, degrees): 9.484 9.484 13.238 90.00 90.00 153.76
Atoms (fractional coordinates):
Ac 0.123 0.877 0.500
Ac 0.129 0.871 0.880
Ac 0.871 0.129 0.380
Ac 0.877 0.123 0.000
Nd 0.192 0.808 0.195
Nd 0.808 0.192 0.695
In 0.437 0.563 0.675
In 0.563 0.437 0.175
Se 0.028 0.972 0.290
Se 0.293 0.707 0.525
Se 0.301 0.699 0.855
Se 0.353 0.647 0.196
Se 0.493 0.507 0.487
Se 0.507 0.493 0.987
Se 0.647 0.353 0.696
Se 0.699 0.301 0.355
Se 0.707 0.293 0.025
Se 0.972 0.028 0.790

***

Let's list formation energy from raw total energies in order: -352.1 626.6 -1038.2 -138.1 -84.4 -1590.3 meV/atom.
Let's list ρ in order: 4.78 6.83 5.92 6.74 5.26 6.99 g cm⁻³.